! Si2PBr, relaxed, DFT PBE-GGA; values from VASP
! Calculated density   3032 kg/m3
! E_form (uncorrected)   0.27 eV per formula unit
! Final energy   -17.66 eV for the cell shown
! Volume   91.5 Å³ per cell
&SYSTEM
  ibrav = 0, nat = 4, ntyp = 3
/
ATOMIC_SPECIES
Si 28.09 Si.upf
P 30.97 P.upf
Br 79.90 Br.upf
CELL_PARAMETERS angstrom
8.3317 0.0262 0.0157
7.5345 3.5567 0.0157
7.5345 1.7014 3.1233
ATOMIC_POSITIONS angstrom
Si 6.2442 1.4101 0.8418
P 16.5403 3.7351 2.2298
Si 23.3200 5.2661 3.1438
Br 12.3971 2.7995 1.6713

! CrSbS2, relaxed, DFT PBE-GGA; values from VASP
! Calculated density   4366 kg/m3
! E_form (uncorrected)   -0.28 eV per formula unit
! Final energy   -178.24 eV for the cell shown
! Volume   723.7 Å³ per cell
&SYSTEM
  ibrav = 0, nat = 32, ntyp = 3
/
ATOMIC_SPECIES
Sb 121.76 Sb.upf
S 32.06 S.upf
Cr 52.00 Cr.upf
CELL_PARAMETERS angstrom
12.5633 0.0000 -0.3901
1.7281 5.1386 -5.6589
-1.7281 5.1386 5.6589
ATOMIC_POSITIONS angstrom
Sb 10.4401 7.8103 -1.7086
S 10.2865 4.1497 -3.1220
Cr 4.7840 2.9265 -1.9478
S 2.4446 3.0941 -1.6368
Cr 11.0657 2.2121 -2.1428
Cr 6.8425 4.6956 3.9762
Sb 0.8962 4.8624 4.5962
Cr 1.4976 8.0651 1.7527
Cr 2.2890 5.5816 -1.4877
Sb 2.1232 2.4669 1.3185
Cr 10.2743 4.6956 1.0976
S 11.5184 3.2683 -0.1704
Sb 4.1585 7.6055 -1.5136
Cr 5.7208 5.5816 -4.3663
Sb 8.4048 2.6717 1.1235
Sb 3.6573 4.8624 0.8677
S 7.3265 8.4069 -0.4147
S 8.7263 2.0445 -1.8318
S 11.1738 5.1464 3.3757
Cr 7.7793 7.3507 1.5577
S 5.9430 5.1464 1.6981
S 6.6203 5.1308 -2.0882
S 2.2768 6.1274 2.7320
Sb 11.6671 5.4148 -4.9863
S 1.3895 5.1308 -3.7658
S 10.1187 7.1831 1.2467
S 5.2368 1.8703 0.0247
Sb 8.9060 5.4148 -1.2578
S 4.0049 4.8773 -2.9270
S 8.5584 5.3999 2.5369
S 1.0449 7.0089 -0.2197
S 3.8370 8.2327 1.4417

! NdEuHoTh, relaxed, DFT PBE-GGA; values from VASP
! Calculated density   8426 kg/m3
! E_form   0.213 eV/atom
! Final energy   -26.19 eV for the cell shown
! Volume   136.6 Å³ per cell
&SYSTEM
  ibrav = 0, nat = 4, ntyp = 4
/
ATOMIC_SPECIES
Nd 144.24 Nd.upf
Th 232.04 Th.upf
Eu 151.96 Eu.upf
Ho 164.93 Ho.upf
CELL_PARAMETERS angstrom
5.7808 0.0000 0.0000
2.8904 5.0063 0.0000
2.8904 1.6688 4.7200
ATOMIC_POSITIONS angstrom
Nd 2.8904 1.6688 1.1800
Th 8.6712 5.0063 3.5400
Eu 5.7808 3.3376 2.3600
Ho 0.0000 0.0000 0.0000

! PmEr3Tm6Sc2, relaxed, DFT PBE-GGA; values from VASP
! Calculated density   8217 kg/m3
! E_form   0.039 eV/atom
! Final energy   -57.46 eV for the cell shown
! Volume   353.7 Å³ per cell
&SYSTEM
  ibrav = 0, nat = 12, ntyp = 4
/
ATOMIC_SPECIES
Tm 168.93 Tm.upf
Sc 44.96 Sc.upf
Er 167.26 Er.upf
Pm 145.00 Pm.upf
CELL_PARAMETERS angstrom
5.9993 0.0019 0.0049
-2.9966 5.1974 0.0049
-1.0068 -1.7432 11.3379
ATOMIC_POSITIONS angstrom
Tm -1.0048 1.7447 2.8057
Sc 0.0018 3.4657 0.0049
Tm 3.0008 1.7113 8.5421
Er 0.9980 1.7280 5.6739
Er -1.9951 3.4566 5.6739
Er 3.9911 -0.0006 5.6739
Pm 0.0000 0.0000 0.0000
Tm -0.0173 3.4544 8.5421
Sc 3.0010 1.7336 0.0049
Tm 1.9950 3.4544 2.8095
Tm 0.0009 0.0016 8.5383
Tm 2.0133 0.0016 2.8057

! HfTi5C4, relaxed, DFT PBE-GGA; values from VASP
! Calculated density   6054 kg/m3
! E_form   -0.693 eV/atom
! Final energy   -93.26 eV for the cell shown
! Volume   127.8 Å³ per cell
&SYSTEM
  ibrav = 0, nat = 10, ntyp = 3
/
ATOMIC_SPECIES
C 12.01 C.upf
Hf 178.49 Hf.upf
Ti 47.87 Ti.upf
CELL_PARAMETERS angstrom
3.1412 0.0000 0.0000
0.0000 6.2266 -0.0375
-1.5706 -1.6892 6.5428
ATOMIC_POSITIONS angstrom
C 0.0000 4.5096 4.2336
C 1.5706 0.0279 2.2717
Hf 1.5706 0.0000 0.0000
Ti 1.5706 3.0845 4.3579
C 0.0000 1.6418 0.0273
Ti 0.0000 1.4529 2.1474
C 1.5706 2.8957 6.4780
Ti 1.5706 3.1133 -0.0187
Ti 0.0000 4.7670 2.1377
Ti 1.5706 -0.2296 4.3676

! AcTcO4F, relaxed, DFT PBE-GGA; values from VASP
! Calculated density   7424 kg/m3
! E_form (uncorrected)   -16.02 eV per formula unit
! Final energy   -104.40 eV for the cell shown
! Volume   182.5 Å³ per cell
&SYSTEM
  ibrav = 0, nat = 14, ntyp = 4
/
ATOMIC_SPECIES
O 16.00 O.upf
F 19.00 F.upf
Ac 227.00 Ac.upf
Tc 98.00 Tc.upf
CELL_PARAMETERS angstrom
7.0392 0.0000 0.8070
0.0000 5.1401 0.0000
-1.9997 0.0000 4.8153
ATOMIC_POSITIONS angstrom
O 5.4698 2.6003 4.4699
F 1.9286 1.2850 1.0012
O 3.4866 1.2850 3.1180
Ac 0.8608 1.2850 3.4750
O 4.5965 1.2850 0.7324
O 1.5529 3.8551 2.5044
F 3.1109 3.8551 4.6211
O 5.4698 5.1099 4.4699
Ac 4.1787 3.8551 2.1474
Tc 4.2601 1.2850 4.8062
O 0.4430 3.8551 4.8900
O -0.4303 2.5398 1.1525
O -0.4303 0.0303 1.1525
Tc 0.7794 3.8551 0.8162